No. 1
Computed, not measured: MgNi after structural relaxation at the PBEsol level of DFT.

```
MgNi
1.0
4.7081 -1.3880 0.0000
4.7081 1.3880 0.0000
-1.3693 0.0000 4.2317
Mg Ni
2 2
Direct
0.1051 0.1051 0.3197
0.8949 0.8949 0.6803
0.3530 0.3530 0.1536
0.6470 0.6470 0.8464
```

---

No. 2
Computed, not measured: HfFeSe2 after structural relaxation at the PBEsol level of DFT.

```
HfFeSe2
1.0
1.7505 1.0106 8.0476
-1.7505 1.0106 8.0476
0.0000 -2.0213 8.0476
Hf Fe Se
1 1 2
Direct
0.0000 0.0000 0.0000
0.5000 0.5000 0.5000
0.4038 0.4038 0.4038
0.5962 0.5962 0.5962
```

## Properties
Uncorrected formation energy in eV per atom: -0.35

---

No. 3
Computed, not measured: CaBr after structural relaxation at the PBEsol level of DFT.

```
CaBr
1.0
3.6833 0.0000 0.0000
0.0000 3.6833 0.0000
0.0000 0.0000 3.6833
Ca Br
1 1
Direct
0.0000 0.0000 0.0000
0.5000 0.5000 0.5000
```

## Properties
Uncorrected formation energy in eV per atom: -1.09

---

No. 4
Computed, not measured: AlNiSb after structural relaxation at the PBEsol level of DFT.

```
AlNiSb
1.0
3.9511 0.0000 0.0000
-1.9755 3.4217 0.0000
0.0000 0.0000 3.9995
Al Ni Sb
1 1 1
Direct
0.0000 0.0000 0.0000
0.6667 0.3333 0.1935
0.3333 0.6667 0.4886
```

## Properties
Uncorrected formation energy in eV per atom: -0.01

---

No. 5
Computed, not measured: Ca3Al2N4 after structural relaxation at the PBEsol level of DFT.

```
Ca3Al2N4
1.0
5.2595 -4.1096 0.0000
5.2595 4.1096 0.0000
-0.1897 0.0000 5.4715
Ca Al N
6 4 8
Direct
0.1015 0.8985 0.7500
0.2470 0.5219 0.4539
0.4781 0.7530 0.0461
0.5219 0.2470 0.9539
0.7530 0.4781 0.5461
0.8985 0.1015 0.2500
0.0854 0.3234 0.9109
0.3234 0.0854 0.4109
0.6766 0.9146 0.5891
0.9146 0.6766 0.0891
0.0875 0.2372 0.5787
0.1985 0.5589 0.9804
0.2372 0.0875 0.0787
0.4411 0.8015 0.5196
0.5589 0.1985 0.4804
0.7628 0.9125 0.9213
0.8015 0.4411 0.0196
0.9125 0.7628 0.4213
```

## Properties
Uncorrected formation energy in eV per atom: -1.25
Distance to the lowest polymorph of the same formula in meV/atom: 7

---

No. 6
Computed, not measured: AlRu2Cl after structural relaxation at the PBEsol level of DFT.

```
AlRu2Cl
1.0
1.4154 0.8172 7.9462
-1.4154 0.8172 7.9462
0.0000 -1.6343 7.9462
Al Ru Cl
1 2 1
Direct
0.0000 0.0000 0.0000
0.2488 0.2488 0.2488
0.7512 0.7512 0.7512
0.5000 0.5000 0.5000
```

## Properties
Uncorrected formation energy in eV per atom: 0.10
Distance to the lowest polymorph of the same formula in meV/atom: 61

---

No. 7
Computed, not measured: InAsAu2 after structural relaxation at the PBEsol level of DFT.

```
InAsAu2
1.0
2.8435 0.0000 0.0000
0.0000 4.9875 0.0000
0.0000 0.0000 5.3604
In As Au
1 1 2
Direct
0.0000 0.0000 0.0000
0.5000 0.0000 0.5000
0.0000 0.5000 0.5000
0.5000 0.5000 0.0000
```

---

No. 8
Computed, not measured: TlBTe2 after structural relaxation at the PBEsol level of DFT.

```
TlBTe2
1.0
0.0000 3.6109 3.6109
3.6109 0.0000 3.6109
3.6109 3.6109 0.0000
Tl B Te
1 1 2
Direct
0.0000 0.0000 0.0000
0.5000 0.5000 0.5000
0.2500 0.2500 0.2500
0.7500 0.7500 0.7500
```

## Properties
Uncorrected formation energy in eV per atom: 1.04

---

Here are the calculated total energy numbers, same order: -4.02 -7.14 -3.10 -4.95 -6.66 -6.51 -3.88 -3.13 (eV/atom).